No. 1
Entry from Alexandria: a relaxed structure of NbVN2 (PBE-GGA).

The structure in POSCAR format:
```
NbVN2
1.0
4.6096 0.0000 0.0000
0.0000 4.6096 0.0000
2.3048 2.3048 4.6208
V N Nb
2 4 2
Direct
0.5000 0.5000 0.0000 V
0.2500 0.7500 0.5000 V
0.1525 0.6250 0.2500 N
0.3750 0.4025 0.7500 N
0.5975 0.1250 0.2500 N
0.8750 0.8475 0.7500 N
0.0000 0.0000 0.0000 Nb
0.7500 0.2500 0.5000 Nb
```

- Formation energy without anion corrections: -755 meV/atom

No. 2
Entry from Alexandria: a relaxed structure of CaAc5LaSm2 (PBE-GGA).

The structure in POSCAR format:
```
CaAc5LaSm2
1.0
-0.5450 0.5186 -5.9394
-0.8951 -11.2063 2.1210
-11.2968 1.1170 1.1342
Ac Sm La Ca
10 4 2 2
Direct
0.0027 0.0053 0.0082 Ac
0.2817 0.5633 0.3154 Ac
0.2831 0.5662 0.7021 Ac
0.5006 0.0012 0.2575 Ac
0.7183 0.4367 0.8154 Ac
0.4994 0.9988 0.7575 Ac
0.7169 0.4338 0.2021 Ac
0.3722 0.7443 0.0088 Ac
0.9973 0.9947 0.5082 Ac
0.6278 0.2557 0.5088 Ac
0.1134 0.2269 0.7416 Sm
0.1130 0.2261 0.2754 Sm
0.8866 0.7731 0.2416 Sm
0.8870 0.7739 0.7754 Sm
0.8063 0.6125 0.5087 La
0.1937 0.3875 0.0087 La
0.5963 0.1927 0.0063 Ca
0.4037 0.8073 0.5063 Ca
```

- Energy relative to the elements: 1.46 eV/f.u.

No. 3
Entry from Alexandria: a relaxed structure of TlIn3Bi (PBE-GGA).

The structure in POSCAR format:
```
TlIn3Bi
1.0
-0.1873 -1.0163 -5.5731
5.0706 -2.5165 0.2885
-2.5261 -4.9761 0.9923
Bi Tl In
1 1 3
Direct
0.5000 0.5000 0.5000 Bi
0.0000 0.0000 0.0000 Tl
0.0000 0.5000 0.0000 In
0.0000 0.0000 0.5000 In
0.5000 0.0000 0.0000 In
```

- Energy above the most stable polymorph in this dataset: 428 meV per atom
- Energy relative to the elements: 2.30 eV/f.u.

No. 4
Entry from Alexandria: a relaxed structure of Pr6Ag3O (PBE-GGA).

The structure in POSCAR format:
```
Pr6Ag3O
1.0
-4.2029 -5.2089 -0.2675
5.6487 -4.3619 -3.8114
3.0544 -3.9845 9.0866
Pr O Ag
12 2 6
Direct
0.8414 0.9518 0.2330 Pr
0.1752 0.3480 0.4499 Pr
0.6752 0.1520 0.9499 Pr
0.3248 0.8480 0.0501 Pr
0.3686 0.7791 0.4350 Pr
0.8248 0.6520 0.5501 Pr
0.1314 0.2791 0.0650 Pr
0.1586 0.0482 0.7670 Pr
0.8686 0.7209 0.9350 Pr
0.3414 0.5482 0.7330 Pr
0.6586 0.4518 0.2670 Pr
0.6314 0.2209 0.5651 Pr
0.0000 0.0000 0.0000 O
0.5000 0.5000 0.5000 O
0.9110 0.3920 0.7648 Ag
0.5000 0.5000 0.0000 Ag
0.4110 0.1080 0.2648 Ag
0.0000 0.0000 0.5000 Ag
0.0890 0.6080 0.2352 Ag
0.5890 0.8920 0.7352 Ag
```

- Formation energy without anion corrections: -595 meV/atom

No. 5
Entry from Alexandria: a relaxed structure of Dy2MgGe4Pd3 (PBE-GGA).

The structure in POSCAR format:
```
Dy2MgGe4Pd3
1.0
-3.5912 -0.6759 -1.8812
1.6454 -3.1960 -1.9927
-3.1147 -6.8438 8.4046
Pd Ge Mg Dy
3 4 1 2
Direct
0.0000 0.0000 0.5000 Pd
0.5000 0.0000 0.8658 Pd
0.0000 0.5000 0.1342 Pd
0.0000 0.0000 0.0000 Ge
0.5000 0.5000 0.0000 Ge
0.0000 0.5000 0.3514 Ge
0.5000 0.0000 0.6486 Ge
0.5000 0.5000 0.5000 Mg
0.5000 0.0000 0.2501 Dy
0.0000 0.5000 0.7499 Dy
```

- Energy relative to the elements: -7.22 eV/f.u.

No. 6
Entry from Alexandria: a relaxed structure of Nd3Mg5Ga2 (PBE-GGA).

The structure in POSCAR format:
```
Nd3Mg5Ga2
1.0
6.2995 0.0000 0.0000
3.1497 9.0406 -1.1266
3.1497 1.3129 9.0154
Nd Mg Ga
6 10 4
Direct
0.6399 0.6208 0.0994 Nd
0.1399 0.0994 0.6208 Nd
0.2500 0.0000 0.0000 Nd
0.7500 0.0000 0.0000 Nd
0.8601 0.9006 0.3792 Nd
0.3601 0.3792 0.9006 Nd
0.8937 0.4480 0.7645 Mg
0.5087 0.7413 0.7413 Mg
0.0087 0.7413 0.7413 Mg
0.4913 0.2587 0.2587 Mg
0.3937 0.7645 0.4480 Mg
0.2500 0.5000 0.5000 Mg
0.1063 0.5520 0.2355 Mg
0.6063 0.2355 0.5520 Mg
0.7500 0.5000 0.5000 Mg
0.9913 0.2587 0.2587 Mg
0.1459 0.7120 0.9962 Ga
0.8541 0.2880 0.0038 Ga
0.6459 0.9962 0.7120 Ga
0.3541 0.0038 0.2880 Ga
```

- Energy relative to the elements: -1.69 eV/f.u.

| no. | DOS(E_F) (states/eV/cell) | DFT total energy (eV per atom) |
| --- | --- | --- |
| 1 | 5.3 | -9.71 |
| 2 | 31.2 | -3.94 |
| 3 | 3.3 | -2.43 |
| 4 | 23.6 | -4.81 |
| 5 | 4.0 | -5.21 |
| 6 | 13.7 | -3.00 |